No. 1
Entry from the Alexandria database: a geometry-optimized DyY4Al5 structure (PBE).

Cell lengths 3.596, 3.596, 18.100 Å; angles 90.00, 90.00, 90.00 degrees
Sites, in units of the cell vectors:
Y  0.000  0.000  0.400
Y  0.000  0.000  0.200
Y  0.000  0.000  0.800
Y  0.000  0.000  0.600
Al  0.500  0.500  0.700
Al  0.500  0.500  0.500
Al  0.500  0.500  0.901
Al  0.500  0.500  0.099
Al  0.500  0.500  0.300
Dy  0.000  0.000  0.000

Calculated values
**Calculated density**: 4.633 g/cm³
**Volume**: 23.40 Å³ per atom
**Space-group type**: P4/mmm (123)
**Energy relative to the elements**: -0.412 eV per atom
**E**: -5.330 eV per atom

---

No. 2
Entry from the Alexandria database: a geometry-optimized Dy4YAl structure (PBE).

Cell lengths 6.238, 8.963, 8.153 Å; angles 113.63, 99.72, 112.89 degrees
Sites, in units of the cell vectors:
Dy  0.962  0.841  0.239
Dy  0.038  0.159  0.761
Dy  0.777  0.398  0.239
Dy  0.629  0.086  0.369
Dy  0.759  0.716  0.631
Dy  0.223  0.602  0.761
Dy  0.371  0.914  0.631
Dy  0.241  0.284  0.369
Al  0.751  0.001  0.001
Al  0.249  0.999  0.999
Y  0.660  0.410  0.820
Y  0.340  0.590  0.180

Calculated values
**Offset from the most stable computed form**: 0.48 eV per formula unit
**Calculated density**: 7.163 g/cm³
**Volume**: 29.59 Å³ per atom
**Space-group type**: C2/c (15)
**Energy relative to the elements**: -0.037 eV per atom
**E**: -4.806 eV per atom

---

No. 3
Entry from the Alexandria database: a geometry-optimized Dy2YAl6 structure (PBE).

Cell lengths 3.483, 7.904, 7.904 Å; angles 120.00, 90.00, 90.00 degrees
Sites, in units of the cell vectors:
Al  0.500  0.666  0.666
Al  0.500  0.334  0.000
Al  0.500  0.666  0.000
Al  0.500  0.334  0.334
Al  0.500  0.000  0.666
Al  0.500  0.000  0.334
Y  0.000  0.000  0.000
Dy  0.000  0.667  0.333
Dy  0.000  0.333  0.667

Calculated values
**Calculated density**: 5.073 g/cm³
**Volume**: 20.94 Å³ per atom
**Space-group type**: P6/mmm (191)
**Energy relative to the elements**: -0.503 eV per atom
**E**: -4.739 eV per atom

---

No. 4
Entry from the Alexandria database: a geometry-optimized Dy5Y4Al structure (PBE).

Cell lengths 3.551, 3.551, 24.061 Å; angles 90.00, 90.00, 90.00 degrees
Sites, in units of the cell vectors:
Dy  0.500  0.500  0.290
Dy  0.500  0.500  0.078
Dy  0.500  0.500  0.500
Dy  0.500  0.500  0.922
Dy  0.500  0.500  0.710
Al  0.000  0.000  0.000
Y  0.000  0.000  0.605
Y  0.000  0.000  0.185
Y  0.000  0.000  0.815
Y  0.000  0.000  0.395

Calculated values
**Calculated density**: 6.542 g/cm³
**Volume**: 30.33 Å³ per atom
**Space-group type**: P4/mmm (123)
**Energy relative to the elements**: -0.060 eV per atom
**E**: -5.321 eV per atom

---

No. 5
Entry from the Alexandria database: a geometry-optimized Dy2Y2Al15 structure (PBE).

Cell lengths 7.241, 7.241, 7.241 Å; angles 83.16, 83.16, 83.16 degrees
Last column: magnetic moment on the atom in μB.
Sites, in units of the cell vectors:
Dy  0.364  0.364  0.364  0.07
Dy  0.636  0.636  0.636  0.07
Al  0.000  0.293  0.707  0.00
Al  0.845  0.357  0.357  0.00
Al  0.155  0.643  0.643  0.00
Al  0.357  0.845  0.357  0.00
Al  0.357  0.357  0.845  0.00
Al  0.643  0.155  0.643  0.00
Al  0.000  0.707  0.293  0.00
Al  0.000  0.500  0.000  0.00
Al  0.707  0.293  0.000  0.00
Al  0.000  0.000  0.500  0.00
Al  0.643  0.643  0.155  0.00
Al  0.293  0.707  0.000  0.00
Al  0.293  0.000  0.707  0.00
Al  0.500  0.000  0.000  0.00
Al  0.707  0.000  0.293  0.00
Y  0.891  0.891  0.891  0.14
Y  0.109  0.109  0.109  0.14

Calculated values
**Calculated density**: 4.049 g/cm³
**Volume**: 19.59 Å³ per atom
**Space-group type**: R-3m (166)
**Energy relative to the elements**: -0.231 eV per atom
**E**: -4.351 eV per atom

---

No. 6
Entry from the Alexandria database: a geometry-optimized Dy3YAl2 structure (PBE).

Cell lengths 5.156, 8.837, 9.051 Å; angles 124.16, 90.00, 106.96 degrees
Sites, in units of the cell vectors:
Dy  0.686  0.373  0.379
Dy  0.618  0.235  0.701
Dy  0.940  0.880  0.595
Dy  0.314  0.627  0.621
Dy  0.060  0.120  0.405
Dy  0.382  0.765  0.299
Al  0.526  0.051  0.892
Al  0.474  0.949  0.108
Al  0.235  0.470  0.870
Al  0.765  0.530  0.130
Y  0.869  0.739  0.920
Y  0.131  0.261  0.080

Calculated values
**Offset from the most stable computed form**: 0.63 eV per formula unit
**Calculated density**: 6.555 g/cm³
**Volume**: 26.61 Å³ per atom
**Space-group type**: C2/m (12)
**Energy relative to the elements**: -0.192 eV per atom
**E**: -4.818 eV per atom

---

No. 7
Entry from the Alexandria database: a geometry-optimized Dy2Y2Al structure (PBE).

Cell lengths 4.954, 4.954, 9.015 Å; angles 74.05, 74.05, 60.00 degrees
Sites, in units of the cell vectors:
Y  0.433  0.433  0.701
Y  0.567  0.567  0.299
Al  0.000  0.000  0.000
Dy  0.700  0.700  0.901
Dy  0.300  0.300  0.099

Calculated values
**Calculated density**: 4.842 g/cm³
**Volume**: 36.34 Å³ per atom
**Space-group type**: R-3m (166)
**Energy relative to the elements**: 0.493 eV per atom
**E**: -4.682 eV per atom

---

No. 8
Entry from the Alexandria database: a geometry-optimized Dy2YAl2 structure (PBE).

Cell lengths 3.648, 5.137, 13.501 Å; angles 90.00, 97.77, 90.00 degrees
Sites, in units of the cell vectors:
Al  0.451  0.750  0.902
Al  0.640  0.750  0.282
Al  0.549  0.250  0.098
Al  0.360  0.250  0.718
Y  0.144  0.250  0.290
Y  0.856  0.750  0.710
Dy  0.767  0.250  0.533
Dy  0.953  0.250  0.906
Dy  0.047  0.750  0.094
Dy  0.233  0.750  0.467

Calculated values
**Offset from the most stable computed form**: 0.00 eV per formula unit
**Calculated density**: 6.198 g/cm³
**Volume**: 25.07 Å³ per atom
**Space-group type**: P2_1/m (11)
**Energy relative to the elements**: -0.324 eV per atom
**E**: -4.955 eV per atom

---

No. 9
Entry from the Alexandria database: a geometry-optimized Dy6Y2Al structure (PBE).

Cell lengths 5.363, 9.928, 10.192 Å; angles 90.00, 90.00, 90.00 degrees
Sites, in units of the cell vectors:
Dy  0.000  0.630  0.887
Dy  0.500  0.528  0.314
Dy  0.500  0.472  0.686
Dy  0.500  0.815  0.058
Dy  0.500  0.130  0.613
Dy  0.500  0.870  0.387
Dy  0.500  0.185  0.942
Dy  0.000  0.972  0.814
Dy  0.000  0.315  0.442
Dy  0.000  0.685  0.558
Dy  0.000  0.370  0.113
Dy  0.000  0.028  0.186
Al  0.500  0.500  0.000
Al  0.000  0.000  0.500
Y  0.000  0.298  0.770
Y  0.000  0.702  0.230
Y  0.500  0.202  0.270
Y  0.500  0.798  0.730

Calculated values
**Calculated density**: 7.220 g/cm³
**Volume**: 30.15 Å³ per atom
**Space-group type**: Pnnm (58)
**Energy relative to the elements**: 0.000 eV per atom
**E**: -4.920 eV per atom

---

No. 10
Entry from the Alexandria database: a geometry-optimized Dy7YAl4 structure (PBE).

Cell lengths 5.479, 9.073, 7.448 Å; angles 77.57, 68.42, 72.43 degrees
Last column: magnetic moment on the atom in μB.
Sites, in units of the cell vectors:
Al  0.555  0.237  0.654  0.00
Al  0.323  0.332  0.021  0.00
Al  0.677  0.668  0.979  0.00
Al  0.445  0.763  0.346  0.00
Dy  0.703  0.355  0.240  0.00
Dy  0.065  0.611  0.259  0.00
Dy  0.212  0.122  0.454  0.01
Dy  0.788  0.878  0.546  0.01
Dy  0.935  0.389  0.741  0.00
Dy  0.297  0.645  0.760  0.00
Dy  0.500  0.000  0.000  0.10
Y  0.000  0.000  0.000  0.10

Calculated values
**Calculated density**: 6.798 g/cm³
**Volume**: 27.16 Å³ per atom
**Space-group type**: C2/m (12)
**Energy relative to the elements**: -0.054 eV per atom
**E**: -4.525 eV per atom

---

No. 11
Entry from the Alexandria database: a geometry-optimized Dy2Y2Al3 structure (PBE).

Cell lengths 3.545, 3.546, 14.274 Å; angles 90.00, 82.87, 90.00 degrees
Sites, in units of the cell vectors:
Y  0.565  0.500  0.870
Y  0.435  0.500  0.130
Dy  0.694  0.500  0.612
Dy  0.306  0.500  0.388
Al  0.869  0.000  0.261
Al  0.131  0.000  0.739
Al  0.000  0.000  0.000

Calculated values
**Offset from the most stable computed form**: 0.00 eV per formula unit
**Calculated density**: 5.445 g/cm³
**Volume**: 25.43 Å³ per atom
**Space-group type**: Cmmm (65)
**Energy relative to the elements**: -0.291 eV per atom
**E**: -5.056 eV per atom

---

No. 12
Entry from the Alexandria database: a geometry-optimized Dy3YAl2 structure (PBE).

Cell lengths 5.101, 6.569, 9.466 Å; angles 90.00, 90.00, 90.00 degrees
Sites, in units of the cell vectors:
Dy  0.000  0.814  0.678
Dy  0.000  0.972  0.042
Dy  0.500  0.687  0.177
Dy  0.500  0.187  0.823
Dy  0.000  0.472  0.958
Dy  0.000  0.314  0.322
Al  0.000  0.792  0.354
Al  0.000  0.292  0.646
Al  0.500  0.708  0.853
Al  0.500  0.208  0.147
Y  0.500  0.027  0.458
Y  0.500  0.527  0.542

Calculated values
**Offset from the most stable computed form**: 0.00 eV per formula unit
**Calculated density**: 6.601 g/cm³
**Volume**: 26.43 Å³ per atom
**Space-group type**: Pmc2_1 (26)
**Energy relative to the elements**: -0.297 eV per atom
**E**: -4.923 eV per atom